Entry 1:
Below is a relaxed structure of CdBr6N4, with properties calculated at the GGA-PBE level.

The structure in extended XYZ format:
```
22
Lattice="9.235 5.332 2.646 -9.235 5.332 2.646 0.000 -10.664 2.646" Properties=species:S:1:pos:R:3 pbc="T T T"
Cd 0.000 0.000 0.000
Cd 0.000 0.000 3.969
Br -6.192 2.650 2.542
Br 0.801 -6.687 2.542
Br -3.043 -2.683 3.865
Br -5.391 -4.038 5.396
Br -3.845 1.294 4.073
Br 0.801 -3.977 4.073
Br -0.801 3.977 3.865
Br 3.845 -1.294 3.865
Br 5.391 4.038 2.542
Br 3.043 2.683 4.073
Br -0.801 6.687 5.396
Br 6.192 -2.650 5.396
N -5.544 1.062 3.307
N 0.000 0.000 1.985
N -3.691 -4.270 4.631
N 1.852 -5.332 3.307
N -1.852 5.332 4.630
N 3.691 4.270 3.308
N 0.000 0.000 5.954
N 5.544 -1.062 4.630
```

Properties
Size of the total moment (μB per cell): 8.00
Symmetry: No. 167
Energy relative to the elements, uncorrected (kJ/mol of atoms): 104.9

=====

Entry 2:
Below is a relaxed structure of CaTeRh3, with properties calculated at the GGA-PBE level.

The structure in extended XYZ format:
```
5
Lattice="4.869 0.000 0.000 0.000 4.869 0.000 0.000 0.000 4.869" Properties=species:S:1:pos:R:3 pbc="T T T"
Ca 0.000 0.000 0.000
Te 2.435 2.435 2.435
Rh 0.000 2.435 2.435
Rh 2.435 0.000 2.435
Rh 2.435 2.435 0.000
```

Properties
Size of the total moment (μB per cell): 0.00
Symmetry: No. 221
Energy relative to the elements, uncorrected (kJ/mol of atoms): 13.2

=====

Entry 3:
Below is a relaxed structure of Tl2MoBr, with properties calculated at the GGA-PBE level.

The structure in extended XYZ format:
```
4
Lattice="1.638 -2.911 0.000 1.638 2.911 0.000 0.000 0.000 10.836" Properties=species:S:1:pos:R:3 pbc="T T T"
Tl 0.000 0.000 0.000
Tl 1.638 0.000 2.902
Mo 1.638 0.000 8.421
Br 0.000 0.000 6.467
```

Properties
Size of the total moment (μB per cell): 0.98
Symmetry: No. 35
Energy relative to the elements, uncorrected (kJ/mol of atoms): 38.1

=====

Entry 4:
Below is a relaxed structure of Sm2ErAl2Ga2, with properties calculated at the GGA-PBE level.

The structure in extended XYZ format:
```
7
Lattice="2.130 1.230 11.024 -2.130 1.230 11.024 0.000 -2.460 11.024" Properties=species:S:1:pos:R:3 pbc="T T T"
Sm 0.000 0.000 4.070
Sm 0.000 0.000 29.001
Er 0.000 0.000 0.000
Al 0.000 0.000 12.927
Al 0.000 0.000 20.144
Ga 0.000 0.000 8.859
Ga 0.000 0.000 24.213
```

Properties
Size of the total moment (μB per cell): 0.21
Symmetry: No. 166
Energy of formation from the pure elements (eV per atom): -0.39

=====

Entry 5:
Below is a relaxed structure of Ce2B2C3, with properties calculated at the GGA-PBE level.

The structure in extended XYZ format:
```
7
Lattice="2.604 1.503 4.246 -2.604 1.503 4.246 0.000 -3.006 4.246" Properties=species:S:1:pos:R:3 pbc="T T T"
Ce 0.000 0.000 0.000
Ce 0.000 0.000 6.370
B 0.000 0.000 2.516
B 0.000 0.000 10.223
C -2.604 0.000 6.370
C -1.302 0.752 2.123
C 1.302 0.752 2.123
```

Properties
Size of the total moment (μB per cell): 0.00
Symmetry: No. 166
Energy of formation from the pure elements (eV per atom): 0.04

=====

Entry 6:
Below is a relaxed structure of Be17NbTc, with properties calculated at the GGA-PBE level.

The structure in extended XYZ format:
```
19
Lattice="3.657 2.111 3.548 -3.657 2.111 3.548 0.000 -4.222 3.548" Properties=species:S:1:pos:R:3 pbc="T T T"
Be -1.824 -1.053 3.548
Be 0.000 0.000 0.589
Be 0.000 -2.148 3.377
Be -1.860 1.074 3.377
Be -1.068 -2.313 5.169
Be -2.538 0.231 5.169
Be 0.000 0.000 2.707
Be -1.764 -1.019 6.816
Be 1.068 -2.313 5.169
Be -1.469 2.082 5.169
Be 1.824 -1.053 3.548
Be 0.000 2.106 3.548
Be 1.860 1.074 3.377
Be 1.764 -1.019 6.816
Be 0.000 2.037 6.816
Be 2.538 0.231 5.169
Be 1.469 2.082 5.169
Nb 0.000 0.000 8.653
Tc 0.000 0.000 5.206
```

Properties
Size of the total moment (μB per cell): 0.00
Symmetry: No. 160
Energy of formation from the pure elements (eV per atom): -0.19